# Ga2SiRh3, optimized geometry, DFT PBE
data_Ga2SiRh3
_space_group_name_H-M_alt 'C 1 2/c 1'
_space_group_IT_number 15
_cell_length_a 12.038
_cell_length_b 5.269
_cell_length_c 5.713
_cell_angle_alpha 90.00
_cell_angle_beta 103.37
_cell_angle_gamma 90.00
loop_
_space_group_symop_operation_xyz
'x,y,z'
'-x,-y,-z'
'-x,y,-z+1/2'
'x,-y,z+1/2'
'x+1/2,y+1/2,z'
'-x+1/2,-y+1/2,-z'
'-x+1/2,y+1/2,-z+1/2'
'x+1/2,-y+1/2,z+1/2'
loop_
_atom_site_label
_atom_site_type_symbol
_atom_site_fract_x
_atom_site_fract_y
_atom_site_fract_z
Ga1 Ga 0.178 0.016 0.089
Si1 Si 0.000 0.314 0.250
Rh1 Rh 0.000 0.127 0.750
Rh2 Rh 0.140 0.491 0.568
# Density ... 8.97 g cm⁻³
# Fermi-level density of states ... 0.403 states/eV/atom
# Total magnetization ... 0.00 μB/f.u.
# Energy ... -147.8 eV/cell
# Formation energy (no corrections) ... -0.5703 eV per atom